<w>
{
  "formula": "Mg5Cd2Ga2",
  "functional": "GGA-PBE",
  "state": "relaxed",
  "density_g_cm3": 4.2,
  "dos_at_fermi_per_ev_cell": 2.54,
  "lattice": [[3.1372, 0.0000, 0.0000], [1.2564, 7.7416, 0.0000], [1.1809, 0.6692, 7.8561]],
  "species": ["Mg", "Mg", "Mg", "Mg", "Mg", "Cd", "Cd", "Ga", "Ga"],
  "frac_coords": [[0.0000, 0.0000, 0.0000], [0.1317, 0.6960, 0.5383], [0.1671, 0.3565, 0.7996], [0.8329, 0.6435, 0.2004], [0.8683, 0.3040, 0.4617], [0.4898, 0.3193, 0.1327], [0.5102, 0.6807, 0.8673], [0.4681, 0.0242, 0.6668], [0.5319, 0.9758, 0.3332]]
}


<x>
{
  "formula": "Mg5Cd2Ga2",
  "functional": "GGA-PBE",
  "state": "relaxed",
  "density_g_cm3": 4.1,
  "dos_at_fermi_per_ev_cell": 5.32,
  "lattice": [[7.8068, -3.5287, 0.0000], [7.8068, 3.5287, 0.0000], [0.0000, 0.0000, 7.1575]],
  "species": ["Mg", "Mg", "Mg", "Mg", "Mg", "Mg", "Mg", "Mg", "Mg", "Mg", "Cd", "Cd", "Cd", "Cd", "Ga", "Ga", "Ga", "Ga"],
  "frac_coords": [[0.0000, 0.0000, 0.0000], [0.0501, 0.6962, 0.6797], [0.1962, 0.5501, 0.1797], [0.3038, 0.9499, 0.6797], [0.4499, 0.8038, 0.1797], [0.5000, 0.5000, 0.5000], [0.5501, 0.1962, 0.8203], [0.6962, 0.0501, 0.3203], [0.8038, 0.4499, 0.8203], [0.9499, 0.3038, 0.3203], [0.2238, 0.2238, 0.0000], [0.2762, 0.2762, 0.5000], [0.7238, 0.7238, 0.5000], [0.7762, 0.7762, 0.0000], [0.1265, 0.8735, 0.3727], [0.3735, 0.6265, 0.8727], [0.6265, 0.3735, 0.1273], [0.8735, 0.1265, 0.6273]]
}


Tell me which of them is the most stable. Sure, it is <x>.


<w>
{
  "formula": "Mg2Cd7Ga2",
  "functional": "GGA-PBE",
  "state": "relaxed",
  "density_g_cm3": 6.5,
  "dos_at_fermi_per_ev_cell": 2.80,
  "lattice": [[3.0350, -5.1648, 0.0000], [3.0350, 5.1648, 0.0000], [-1.5924, 0.0000, 7.9774]],
  "species": ["Mg", "Mg", "Cd", "Cd", "Cd", "Cd", "Cd", "Cd", "Cd", "Ga", "Ga"],
  "frac_coords": [[0.2433, 0.7567, 0.0000], [0.7567, 0.2433, 0.0000], [0.0737, 0.5663, 0.3279], [0.2772, 0.2772, 0.0492], [0.4337, 0.9263, 0.6721], [0.5000, 0.5000, 0.5000], [0.5663, 0.0737, 0.3279], [0.7228, 0.7228, 0.9508], [0.9263, 0.4337, 0.6721], [0.0125, 0.0125, 0.3243], [0.9875, 0.9875, 0.6757]]
}


<x>
{
  "formula": "Mg2Cd7Ga2",
  "functional": "GGA-PBE",
  "state": "relaxed",
  "density_g_cm3": 6.5,
  "dos_at_fermi_per_ev_cell": 3.18,
  "lattice": [[-2.3765, 8.6475, 3.0285], [2.3765, -8.6475, 3.0285], [2.3765, 8.6475, -3.0285]],
  "species": ["Mg", "Mg", "Cd", "Cd", "Cd", "Cd", "Cd", "Cd", "Cd", "Ga", "Ga"],
  "frac_coords": [[0.2020, 0.0000, 0.2020], [0.7980, 0.0000, 0.7980], [0.0956, 0.7397, 0.3558], [0.3270, 0.5070, 0.8200], [0.3839, 0.7397, 0.6442], [0.6466, 0.2677, 0.3789], [0.6869, 0.5070, 0.1800], [0.7549, 0.7549, 0.0000], [0.8888, 0.2677, 0.6211], [0.2182, 0.2182, 0.0000], [0.4447, 0.9447, 0.5000]]
}


Tell me which of them is the most stable. Sure, it is <x>.


<w>
{
  "formula": "Mg8Cd3Ga2",
  "functional": "GGA-PBE",
  "state": "relaxed",
  "density_g_cm3": 3.8,
  "dos_at_fermi_per_ev_cell": 4.69,
  "lattice": [[3.7593, -7.7818, 0.0000], [3.7593, 7.7818, 0.0000], [0.0000, 0.0000, 4.9591]],
  "species": ["Mg", "Mg", "Mg", "Mg", "Mg", "Mg", "Mg", "Mg", "Cd", "Cd", "Cd", "Ga", "Ga"],
  "frac_coords": [[0.1325, 0.8675, 0.0000], [0.1731, 0.4070, 0.5000], [0.3269, 0.6731, 0.0000], [0.4070, 0.1731, 0.5000], [0.5930, 0.8269, 0.5000], [0.6731, 0.3269, 0.0000], [0.8269, 0.5930, 0.5000], [0.8675, 0.1325, 0.0000], [0.0000, 0.0000, 0.5000], [0.2966, 0.2966, 0.0000], [0.7034, 0.7034, 0.0000], [0.2344, 0.7656, 0.5000], [0.7656, 0.2344, 0.5000]]
}


<x>
{
  "formula": "Mg8Cd3Ga2",
  "functional": "GGA-PBE",
  "state": "relaxed",
  "density_g_cm3": 3.8,
  "dos_at_fermi_per_ev_cell": 4.46,
  "lattice": [[6.4139, -4.0173, 0.0000], [6.4139, 4.0173, 0.0000], [-0.5674, 0.0000, 5.7459]],
  "species": ["Mg", "Mg", "Mg", "Mg", "Mg", "Mg", "Mg", "Mg", "Cd", "Cd", "Cd", "Ga", "Ga"],
  "frac_coords": [[0.0626, 0.6870, 0.0787], [0.0995, 0.0995, 0.3903], [0.3096, 0.3096, 0.6844], [0.3130, 0.9374, 0.9213], [0.6870, 0.0626, 0.0787], [0.6904, 0.6904, 0.3156], [0.9005, 0.9005, 0.6097], [0.9374, 0.3130, 0.9213], [0.3182, 0.6818, 0.5000], [0.5000, 0.5000, 0.0000], [0.6818, 0.3182, 0.5000], [0.2906, 0.2906, 0.1934], [0.7094, 0.7094, 0.8066]]
}


Tell me which of them is the most stable. Sure, it is <w>.


<w>
{
  "formula": "Mg6CdGa2",
  "functional": "GGA-PBE",
  "state": "relaxed",
  "density_g_cm3": 3.5,
  "dos_at_fermi_per_ev_cell": 2.83,
  "lattice": [[4.8936, -2.1646, 0.0000], [4.8936, 2.1646, 0.0000], [-2.6311, 0.0000, 8.8985]],
  "species": ["Mg", "Mg", "Mg", "Mg", "Mg", "Mg", "Cd", "Ga", "Ga"],
  "frac_coords": [[0.0043, 0.0043, 0.3245], [0.3332, 0.3332, 0.1072], [0.3348, 0.3348, 0.4445], [0.6652, 0.6652, 0.5555], [0.6668, 0.6668, 0.8928], [0.9957, 0.9957, 0.6755], [0.0000, 0.0000, 0.0000], [0.3220, 0.3220, 0.7685], [0.6780, 0.6780, 0.2315]]
}


<x>
{
  "formula": "Mg6CdGa2",
  "functional": "GGA-PBE",
  "state": "relaxed",
  "density_g_cm3": 3.1,
  "dos_at_fermi_per_ev_cell": 3.78,
  "lattice": [[7.3442, -3.3078, 0.0000], [7.3442, 3.3078, 0.0000], [-1.4522, 0.0000, 4.4022]],
  "species": ["Mg", "Mg", "Mg", "Mg", "Mg", "Mg", "Cd", "Ga", "Ga"],
  "frac_coords": [[0.0741, 0.5857, 0.3296], [0.2379, 0.7621, 0.0000], [0.4143, 0.9259, 0.6704], [0.5857, 0.0741, 0.3296], [0.7621, 0.2379, 0.0000], [0.9259, 0.4143, 0.6704], [0.5000, 0.5000, 0.5000], [0.1680, 0.1680, 0.1685], [0.8320, 0.8320, 0.8315]]
}


Tell me which of them is the most stable. Sure, it is <w>.


<w>
{
  "formula": "Mg7Cd2Ga2",
  "functional": "GGA-PBE",
  "state": "relaxed",
  "density_g_cm3": 3.7,
  "dos_at_fermi_per_ev_cell": 3.60,
  "lattice": [[3.5409, -4.2758, 0.0000], [3.5409, 4.2758, 0.0000], [-2.1561, 0.0000, 7.8227]],
  "species": ["Mg", "Mg", "Mg", "Mg", "Mg", "Mg", "Mg", "Cd", "Cd", "Ga", "Ga"],
  "frac_coords": [[0.0000, 0.0000, 0.0000], [0.0927, 0.4651, 0.8208], [0.1316, 0.1316, 0.3890], [0.4651, 0.0927, 0.8208], [0.5349, 0.9073, 0.1792], [0.8684, 0.8684, 0.6110], [0.9073, 0.5349, 0.1792], [0.3101, 0.6899, 0.5000], [0.6899, 0.3101, 0.5000], [0.3923, 0.3923, 0.1680], [0.6077, 0.6077, 0.8320]]
}


<x>
{
  "formula": "Mg7Cd2Ga2",
  "functional": "GGA-PBE",
  "state": "relaxed",
  "density_g_cm3": 3.8,
  "dos_at_fermi_per_ev_cell": 3.53,
  "lattice": [[-2.2810, 6.8075, 3.7742], [2.2810, -6.8075, 3.7742], [2.2810, 6.8075, -3.7742]],
  "species": ["Mg", "Mg", "Mg", "Mg", "Mg", "Mg", "Mg", "Cd", "Cd", "Ga", "Ga"],
  "frac_coords": [[0.0000, 0.0000, 0.0000], [0.1172, 0.4528, 0.6645], [0.2344, 0.8817, 0.3527], [0.5291, 0.8817, 0.6473], [0.5304, 0.6812, 0.8492], [0.7883, 0.4528, 0.3355], [0.8320, 0.6812, 0.1508], [0.3911, 0.3911, 0.0000], [0.6946, 0.1946, 0.5000], [0.3602, 0.1650, 0.1952], [0.9699, 0.1650, 0.8048]]
}


Tell me which of them is the most stable. Sure, it is <x>.


<w>
{
  "formula": "Mg4CdGa",
  "functional": "GGA-PBE",
  "state": "relaxed",
  "density_g_cm3": 3.6,
  "dos_at_fermi_per_ev_cell": 1.68,
  "lattice": [[5.3334, -1.5700, 0.0000], [5.3334, 1.5700, 0.0000], [-3.2346, 0.0000, 7.6117]],
  "species": ["Mg", "Mg", "Mg", "Mg", "Cd", "Ga"],
  "frac_coords": [[0.1549, 0.1549, 0.3400], [0.1657, 0.1657, 0.8201], [0.8343, 0.8343, 0.1799], [0.8451, 0.8451, 0.6600], [0.5000, 0.5000, 0.0000], [0.5000, 0.5000, 0.5000]]
}


<x>
{
  "formula": "Mg4CdGa",
  "functional": "GGA-PBE",
  "state": "relaxed",
  "density_g_cm3": 3.2,
  "dos_at_fermi_per_ev_cell": 1.71,
  "lattice": [[4.6541, 0.0000, 0.0000], [0.0000, 4.6541, 0.0000], [0.0000, 0.0000, 6.6726]],
  "species": ["Mg", "Mg", "Mg", "Mg", "Cd", "Ga"],
  "frac_coords": [[0.0000, 0.5000, 0.2373], [0.0000, 0.5000, 0.7627], [0.5000, 0.0000, 0.2373], [0.5000, 0.0000, 0.7627], [0.0000, 0.0000, 0.5000], [0.5000, 0.5000, 0.0000]]
}


Tell me which of them is the most stable. Sure, it is <w>.


<w>
{
  "formula": "Mg4CdGa2",
  "functional": "GGA-PBE",
  "state": "relaxed",
  "density_g_cm3": 3.9,
  "dos_at_fermi_per_ev_cell": 3.60,
  "lattice": [[2.3706, 1.3686, 7.7151], [-2.3706, 1.3686, 7.7151], [0.0000, -2.7373, 7.7151]],
  "species": ["Mg", "Mg", "Mg", "Mg", "Cd", "Ga", "Ga"],
  "frac_coords": [[0.1157, 0.1157, 0.1157], [0.3702, 0.3702, 0.3702], [0.6298, 0.6298, 0.6298], [0.8843, 0.8843, 0.8843], [0.5000, 0.5000, 0.5000], [0.2496, 0.2496, 0.2496], [0.7504, 0.7504, 0.7504]]
}


<x>
{
  "formula": "Mg4CdGa2",
  "functional": "GGA-PBE",
  "state": "relaxed",
  "density_g_cm3": 3.9,
  "dos_at_fermi_per_ev_cell": 5.61,
  "lattice": [[7.3966, 0.0000, 0.0000], [0.0000, 5.8683, 0.0000], [-2.7706, 0.0000, 6.9270]],
  "species": ["Mg", "Mg", "Mg", "Mg", "Mg", "Mg", "Mg", "Mg", "Cd", "Cd", "Ga", "Ga", "Ga", "Ga"],
  "frac_coords": [[0.0196, 0.2500, 0.4055], [0.2128, 0.7500, 0.3395], [0.4050, 0.0031, 0.7668], [0.4050, 0.4969, 0.7668], [0.5950, 0.5031, 0.2332], [0.5950, 0.9969, 0.2332], [0.7872, 0.2500, 0.6605], [0.9804, 0.7500, 0.5945], [0.1614, 0.2500, 0.0160], [0.8386, 0.7500, 0.9840], [0.2388, 0.7500, 0.9833], [0.3913, 0.2500, 0.4265], [0.6087, 0.7500, 0.5735], [0.7612, 0.2500, 0.0167]]
}


Tell me which of them is the most stable. Sure, it is <w>.


<w>
{
  "formula": "Mg3Cd3Ga",
  "functional": "GGA-PBE",
  "state": "relaxed",
  "density_g_cm3": 5.4,
  "dos_at_fermi_per_ev_cell": 5.45,
  "lattice": [[8.3115, 0.0000, 0.0000], [-4.1557, 7.1980, 0.0000], [0.0000, 0.0000, 4.9501]],
  "species": ["Mg", "Mg", "Mg", "Mg", "Mg", "Mg", "Cd", "Cd", "Cd", "Cd", "Cd", "Cd", "Ga", "Ga"],
  "frac_coords": [[0.1003, 0.4744, 0.2500], [0.3741, 0.8997, 0.2500], [0.4744, 0.3741, 0.7500], [0.5256, 0.6259, 0.2500], [0.6259, 0.1003, 0.7500], [0.8997, 0.5256, 0.7500], [0.0472, 0.2446, 0.7500], [0.1974, 0.9528, 0.7500], [0.2446, 0.1974, 0.2500], [0.7554, 0.8026, 0.7500], [0.8026, 0.0472, 0.2500], [0.9528, 0.7554, 0.2500], [0.3333, 0.6667, 0.7500], [0.6667, 0.3333, 0.2500]]
}


<x>
{
  "formula": "Mg3Cd3Ga",
  "functional": "GGA-PBE",
  "state": "relaxed",
  "density_g_cm3": 5.2,
  "dos_at_fermi_per_ev_cell": 8.49,
  "lattice": [[4.8904, -4.9001, 0.0000], [4.8904, 4.9001, 0.0000], [0.0000, 0.0000, 6.4002]],
  "species": ["Mg", "Mg", "Mg", "Mg", "Mg", "Mg", "Cd", "Cd", "Cd", "Cd", "Cd", "Cd", "Ga", "Ga"],
  "frac_coords": [[0.0000, 0.0000, 0.2461], [0.0000, 0.0000, 0.7539], [0.0000, 0.5000, 0.2429], [0.0000, 0.5000, 0.7571], [0.5000, 0.0000, 0.2429], [0.5000, 0.0000, 0.7571], [0.2765, 0.2765, 0.5000], [0.2835, 0.7165, 0.5000], [0.3342, 0.6658, 0.0000], [0.6658, 0.3342, 0.0000], [0.7165, 0.2835, 0.5000], [0.7235, 0.7235, 0.5000], [0.2518, 0.2518, 0.0000], [0.7482, 0.7482, 0.0000]]
}


Tell me which of them is the most stable. Sure, it is <w>.